NaPrO2 (PBE, relaxed); uncorrected formation energy = -2.49 eV per atom; size of the total moment = 0.00 μB/f.u.; energy = -6.49 eV per atom; symmetry = No. 160; V = 67.4 Å³ per cell
1.0
1.799 1.039 6.015
-1.799 1.039 6.015
0.000 -2.077 6.015
Na Pr O
1 1 2
direct
0.000 0.000 0.000 Na
0.176 0.176 0.176 Pr
0.582 0.582 0.582 O
0.776 0.776 0.776 O